This record from Alexandria describes an optimized crystal structure of SrTl2Pd2. The functional is PBE-GGA.

Properties
* N(E_F): 0.45 states/eV/atom
* formation energy from the elements: -0.411 eV/atom
* magnetic moment: 0.0 μB per cell

abc: 8.789 4.597 12.455
angles: 90.00 90.00 90.00
Space group Pnma (No. 62)
Unique sites:
Sr: 0.210 0.250 0.162 (multiplicity 4)
Tl: 0.105 0.250 0.450 (multiplicity 4)
Tl: 0.140 0.250 0.853 (multiplicity 4)
Pd: 0.024 0.750 0.335 (multiplicity 4)
Pd: 0.086 0.750 0.983 (multiplicity 4)

This record from Alexandria describes an optimized crystal structure of Tl5In5Ga2. The functional is PBE-GGA.

Properties
* N(E_F): 0.40 states/eV/atom
* formation energy from the elements: 0.040 eV/atom
* magnetic moment: 0.0 μB per cell

abc: 15.731 5.410 9.251
angles: 90.00 122.39 90.00
Space group C2/m (No. 12)
Unique sites:
Tl: 0.000 0.000 0.000 (multiplicity 2)
Tl: 0.092 0.000 0.427 (multiplicity 4)
Tl: 0.181 0.000 0.862 (multiplicity 4)
In: 0.000 0.500 0.500 (multiplicity 2)
In: 0.066 0.500 0.888 (multiplicity 4)
In: 0.240 0.500 0.689 (multiplicity 4)
Ga: 0.160 0.500 0.283 (multiplicity 4)

This record from Alexandria describes an optimized crystal structure of Tl2InAu. The functional is PBE-GGA.

Properties
* N(E_F): 0.48 states/eV/atom
* formation energy from the elements: 0.031 eV/atom
* magnetic moment: 0.0 μB per cell

abc: 3.6898 3.6898 28.2092
angles: 90.00 90.00 120.00
Space group R-3m (No. 166, hexagonal axes)
Unique sites:
Tl: 0.0000 0.0000 0.2398 (multiplicity 6)
In: 0.0000 0.0000 0.0000 (multiplicity 3)
Au: 0.0000 0.0000 0.5000 (multiplicity 3)

This record from Alexandria describes an optimized crystal structure of CeGa4PdAu2. The functional is PBE-GGA.

Properties
* N(E_F): 0.97 states/eV/atom
* formation energy from the elements: -0.461 eV/atom
* magnetic moment: 2.2 μB per cell

abc: 4.4138 4.4138 26.6256
angles: 90.00 90.00 120.00
Space group R-3m (No. 166, hexagonal axes)
Unique sites:
Ce: 0.0000 0.0000 0.0000 (multiplicity 3)
Ga: 0.0000 0.0000 0.1310 (multiplicity 6)
Ga: 0.0000 0.0000 0.3977 (multiplicity 6)
Pd: 0.0000 0.0000 0.5000 (multiplicity 3)
Au: 0.0000 0.0000 0.2464 (multiplicity 6)

This record from Alexandria describes an optimized crystal structure of ReTeWI. The functional is PBE-GGA.

Properties
* N(E_F): 0.59 states/eV/atom
* magnetic moment: 0.0 μB per cell
* E_form (uncorrected): 163 kJ/mol of formula units

abc: 3.178 3.389 9.515
angles: 90.00 90.02 90.00
Space group Pm (No. 6)
Unique sites:
Re: 0.000 0.000 0.000 (multiplicity 1)
Te: 0.468 0.000 0.236 (multiplicity 1)
W: 0.374 0.500 0.855 (multiplicity 1)
I: 0.922 0.500 0.615 (multiplicity 1)

This record from Alexandria describes an optimized crystal structure of NdCdPd6. The functional is PBE-GGA.

Properties
* N(E_F): 1.18 states/eV/atom
* formation energy from the elements: -0.490 eV/atom
* magnetic moment: 0.0 μB per cell

abc: 4.135 4.135 8.188
angles: 90.00 90.00 90.00
Space group P4/mmm (No. 123)
Unique sites:
Nd: 0.000 0.000 0.000 (multiplicity 1)
Cd: 0.000 0.000 0.500 (multiplicity 1)
Pd: 0.000 0.500 0.260 (multiplicity 4)
Pd: 0.500 0.500 0.000 (multiplicity 1)
Pd: 0.500 0.500 0.500 (multiplicity 1)

This record from Alexandria describes an optimized crystal structure of ErMg3Pd. The functional is PBE-GGA.

Properties
* N(E_F): 0.58 states/eV/atom
* formation energy from the elements: -0.312 eV/atom
* magnetic moment: 0.0 μB per cell

abc: 4.627 4.685 10.821
angles: 90.00 90.00 90.00
Space group Amm2 (No. 38)
Unique sites:
Er: 0.000 0.000 0.000 (multiplicity 2)
Mg: 0.000 0.000 0.707 (multiplicity 2)
Mg: 0.500 0.000 0.222 (multiplicity 2)
Mg: 0.500 0.000 0.502 (multiplicity 2)
Pd: 0.000 0.000 0.352 (multiplicity 2)

This record from Alexandria describes an optimized crystal structure of CdCu2W. The functional is PBE-GGA.

Properties
* N(E_F): 0.72 states/eV/atom
* formation energy from the elements: 0.462 eV/atom
* magnetic moment: 0.0 μB per cell

abc: 8.760 2.695 5.344
angles: 90.00 96.65 90.00
Space group C2/m (No. 12)
Unique sites:
Cd: 0.000 0.000 0.000 (multiplicity 2)
Cu: 0.247 0.000 0.712 (multiplicity 4)
W: 0.000 0.500 0.500 (multiplicity 2)

Number 1: calculated total energy -3.772 eV/atom. Number 2: calculated total energy -2.592 eV/atom. Number 3: calculated total energy -2.656 eV/atom. Number 4: calculated total energy -4.184 eV/atom. Number 5: calculated total energy -7.100 eV/atom. Number 6: calculated total energy -5.095 eV/atom. Number 7: calculated total energy -3.219 eV/atom. Number 8: calculated total energy -5.053 eV/atom.